(1)
A plane-wave DFT calculation with GGA-PBE was carried out for Be45Os11 after structural relaxation.

abc: 11.3106 11.3106 11.3106
angles: 60.00 60.00 60.00
Last column: nearest neighbours and their distance in Å.
Sites, in units of the cell vectors:
1 Be 0.0870 0.0870 0.0870  7 Be 2.25-2.39, 4 Os 2.41-2.51
2 Be 0.7390 0.0870 0.0870  7 Be 2.25-2.39, 4 Os 2.41-2.51
3 Be 0.0870 0.7390 0.0870  7 Be 2.25-2.39, 4 Os 2.41-2.51
4 Be 0.4093 0.0907 0.0907  4 Be 2.18-2.23, 4 Os 2.36-2.37
5 Be 0.0907 0.4093 0.0907  4 Be 2.18-2.23, 4 Os 2.36-2.37
6 Be 0.4093 0.4093 0.0907  4 Be 2.18-2.23, 4 Os 2.36-2.37
7 Be 0.7338 0.7338 0.1374  9 Be 2.26-2.43, 3 Os 2.34-2.45
8 Be 0.7338 0.3950 0.1374  9 Be 2.26-2.43, 3 Os 2.34-2.45
9 Be 0.3950 0.7338 0.1374  9 Be 2.26-2.43, 3 Os 2.34-2.45
10 Be 0.8415 0.1585 0.1585  8 Be 2.23-2.28
11 Be 0.1585 0.8415 0.1585  8 Be 2.23-2.28
12 Be 0.8415 0.8415 0.1585  8 Be 2.23-2.28
13 Be 0.4893 0.4893 0.1669  4 Be 2.05-2.18
14 Be 0.8546 0.4893 0.1669  4 Be 2.05-2.18
15 Be 0.4893 0.8546 0.1669  4 Be 2.05-2.18
16 Be 0.1683 0.1683 0.1683  8 Be 2.21-2.26
17 Be 0.4951 0.1683 0.1683  8 Be 2.21-2.26
18 Be 0.1683 0.4951 0.1683  8 Be 2.21-2.26
19 Be 0.9306 0.5964 0.2365  8 Be 2.20-2.43, 3 Os 2.32-2.38
20 Be 0.5964 0.9306 0.2365  8 Be 2.20-2.43, 3 Os 2.32-2.38
21 Be 0.5964 0.2365 0.2365  8 Be 2.20-2.43, 3 Os 2.32-2.38
22 Be 0.9306 0.2365 0.2365  8 Be 2.20-2.43, 3 Os 2.32-2.38
23 Be 0.2365 0.5964 0.2365  8 Be 2.20-2.43, 3 Os 2.32-2.38
24 Be 0.2365 0.9306 0.2365  8 Be 2.20-2.43, 3 Os 2.32-2.38
25 Be 0.9173 0.9173 0.2480  4 Be 2.23-2.27, 4 Os 2.29-2.36
26 Be 0.2500 0.2500 0.2500  4 Be 2.26
27 Be 0.7270 0.3624 0.3624  6 Be 2.02-2.20
28 Be 0.3624 0.5481 0.3624  6 Be 2.02-2.20
29 Be 0.7270 0.5481 0.3624  6 Be 2.02-2.20
30 Be 0.3624 0.7270 0.3624  6 Be 2.02-2.20
31 Be 0.5481 0.7270 0.3624  6 Be 2.02-2.20
32 Be 0.5481 0.3624 0.3624  6 Be 2.02-2.20
33 Be 0.7338 0.1374 0.3950  9 Be 2.26-2.43, 3 Os 2.34-2.45
34 Be 0.1374 0.7338 0.3950  9 Be 2.26-2.43, 3 Os 2.34-2.45
35 Be 0.7338 0.7338 0.3950  9 Be 2.26-2.43, 3 Os 2.34-2.45
36 Be 0.0907 0.0907 0.4093  4 Be 2.18-2.23, 4 Os 2.36-2.37
37 Be 0.4093 0.0907 0.4093  4 Be 2.18-2.23, 4 Os 2.36-2.37
38 Be 0.0907 0.4093 0.4093  4 Be 2.18-2.23, 4 Os 2.36-2.37
39 Be 0.4893 0.1669 0.4893  4 Be 2.05-2.18
40 Be 0.8546 0.1669 0.4893  4 Be 2.05-2.18
41 Be 0.1669 0.4893 0.4893  4 Be 2.05-2.18
42 Be 0.8546 0.4893 0.4893  4 Be 2.05-2.18
43 Be 0.1669 0.8546 0.4893  4 Be 2.05-2.18
44 Be 0.4893 0.8546 0.4893  4 Be 2.05-2.18
45 Be 0.8355 0.8355 0.4935  7 Be 2.27-2.37, 4 Os 2.37-2.47
46 Be 0.1683 0.1683 0.4951  8 Be 2.21-2.26
47 Be 0.5000 0.5000 0.5000  12 Be 2.42, 4 Os 2.60
48 Be 0.3624 0.3624 0.5481  6 Be 2.02-2.20
49 Be 0.7270 0.3624 0.5481  6 Be 2.02-2.20
50 Be 0.3624 0.7270 0.5481  6 Be 2.02-2.20
51 Be 0.2365 0.2365 0.5964  8 Be 2.20-2.43, 3 Os 2.32-2.38
52 Be 0.9306 0.2365 0.5964  8 Be 2.20-2.43, 3 Os 2.32-2.38
53 Be 0.2365 0.9306 0.5964  8 Be 2.20-2.43, 3 Os 2.32-2.38
54 Be 0.7988 0.6093 0.6093  4 Be 2.05-2.14
55 Be 0.9827 0.6093 0.6093  4 Be 2.05-2.14
56 Be 0.6093 0.7988 0.6093  4 Be 2.05-2.14
57 Be 0.9827 0.7988 0.6093  4 Be 2.05-2.14
58 Be 0.6093 0.9827 0.6093  4 Be 2.05-2.14
59 Be 0.7988 0.9827 0.6093  4 Be 2.05-2.14
60 Be 0.5481 0.3624 0.7270  6 Be 2.02-2.20
61 Be 0.3624 0.3624 0.7270  6 Be 2.02-2.20
62 Be 0.3624 0.5481 0.7270  6 Be 2.02-2.20
63 Be 0.7338 0.1374 0.7338  9 Be 2.26-2.43, 3 Os 2.34-2.45
64 Be 0.3950 0.1374 0.7338  9 Be 2.26-2.43, 3 Os 2.34-2.45
65 Be 0.1374 0.3950 0.7338  9 Be 2.26-2.43, 3 Os 2.34-2.45
66 Be 0.3950 0.7338 0.7338  9 Be 2.26-2.43, 3 Os 2.34-2.45
67 Be 0.1374 0.7338 0.7338  9 Be 2.26-2.43, 3 Os 2.34-2.45
68 Be 0.7338 0.3950 0.7338  9 Be 2.26-2.43, 3 Os 2.34-2.45
69 Be 0.0870 0.0870 0.7390  7 Be 2.25-2.39, 4 Os 2.41-2.51
70 Be 0.6093 0.6093 0.7988  4 Be 2.05-2.14
71 Be 0.9827 0.6093 0.7988  4 Be 2.05-2.14
72 Be 0.6093 0.9827 0.7988  4 Be 2.05-2.14
73 Be 0.8355 0.4935 0.8355  7 Be 2.27-2.37, 4 Os 2.37-2.47
74 Be 0.4935 0.8355 0.8355  7 Be 2.27-2.37, 4 Os 2.37-2.47
75 Be 0.8355 0.8355 0.8355  7 Be 2.27-2.37, 4 Os 2.37-2.47
76 Be 0.1585 0.1585 0.8415  8 Be 2.23-2.28
77 Be 0.8415 0.1585 0.8415  8 Be 2.23-2.28
78 Be 0.1585 0.8415 0.8415  8 Be 2.23-2.28
79 Be 0.4893 0.1669 0.8546  4 Be 2.05-2.18
80 Be 0.1669 0.4893 0.8546  4 Be 2.05-2.18
81 Be 0.4893 0.4893 0.8546  4 Be 2.05-2.18
82 Be 0.9173 0.2480 0.9173  4 Be 2.23-2.27, 4 Os 2.29-2.36
83 Be 0.2480 0.9173 0.9173  4 Be 2.23-2.27, 4 Os 2.29-2.36
84 Be 0.9173 0.9173 0.9173  4 Be 2.23-2.27, 4 Os 2.29-2.36
85 Be 0.2365 0.5964 0.9306  8 Be 2.20-2.43, 3 Os 2.32-2.38
86 Be 0.5964 0.2365 0.9306  8 Be 2.20-2.43, 3 Os 2.32-2.38
87 Be 0.2365 0.2365 0.9306  8 Be 2.20-2.43, 3 Os 2.32-2.38
88 Be 0.6093 0.6093 0.9827  4 Be 2.05-2.14
89 Be 0.7988 0.6093 0.9827  4 Be 2.05-2.14
90 Be 0.6093 0.7988 0.9827  4 Be 2.05-2.14
91 Os 0.0000 0.0000 0.0000  14 Be 2.29-2.53
92 Os 0.5939 0.5939 0.2184  16 Be 2.34-2.60
93 Os 0.9690 0.3437 0.3437  13 Be 2.36-2.60
94 Os 0.3437 0.9690 0.3437  13 Be 2.36-2.60
95 Os 0.3437 0.3437 0.3437  13 Be 2.36-2.60
96 Os 0.9893 0.6629 0.3586  12 Be 2.32-2.55
97 Os 0.6629 0.9893 0.3586  12 Be 2.32-2.55
98 Os 0.9893 0.9893 0.3586  12 Be 2.32-2.55
99 Os 0.5939 0.2184 0.5939  16 Be 2.34-2.60
100 Os 0.2184 0.5939 0.5939  16 Be 2.34-2.60
101 Os 0.5939 0.5939 0.5939  16 Be 2.34-2.60
102 Os 0.9893 0.3586 0.6629  12 Be 2.32-2.55
103 Os 0.3586 0.9893 0.6629  12 Be 2.32-2.55
104 Os 0.9893 0.9893 0.6629  12 Be 2.32-2.55
105 Os 0.7500 0.7500 0.7500  16 Be 2.37-2.48
106 Os 0.3437 0.3437 0.9690  13 Be 2.36-2.60
107 Os 0.9893 0.3586 0.9893  12 Be 2.32-2.55
108 Os 0.6629 0.3586 0.9893  12 Be 2.32-2.55
109 Os 0.9893 0.6629 0.9893  12 Be 2.32-2.55
110 Os 0.3586 0.9893 0.9893  12 Be 2.32-2.55
111 Os 0.6629 0.9893 0.9893  12 Be 2.32-2.55
112 Os 0.3586 0.6629 0.9893  12 Be 2.32-2.55

Output
Size of the total moment (μB per formula unit): 0.025
Energy (eV per atom): -5.4065

(2)
A plane-wave DFT calculation with GGA-PBE was carried out for Be2Os after structural relaxation.

abc: 4.3484 4.3484 4.3484
angles: 60.00 60.00 60.00
Last column: nearest neighbours and their distance in Å.
Sites, in units of the cell vectors:
1 Be 0.6250 0.6250 0.1250  6 Be 2.17
2 Be 0.6250 0.1250 0.6250  6 Be 2.17
3 Be 0.1250 0.6250 0.6250  6 Be 2.17
4 Be 0.6250 0.6250 0.6250  6 Be 2.17
5 Os 0.0000 0.0000 0.0000  12 Be 2.55, 4 Os 2.66
6 Os 0.2500 0.2500 0.2500  12 Be 2.55, 4 Os 2.66

Output
Size of the total moment (μB per formula unit): 0.002
Energy (eV per atom): -6.5188
Energy relative to the lowest polymorph listed for this composition (meV/atom): 0

(3)
A plane-wave DFT calculation with GGA-PBE was carried out for Be2Os after structural relaxation.

abc: 7.0050 7.0050 7.0050
angles: 60.00 60.00 60.00
Last column: nearest neighbours and their distance in Å.
Sites, in units of the cell vectors:
1 Be 0.8750 0.8750 0.3750  2 Os 2.14
2 Be 0.8750 0.3750 0.8750  2 Os 2.14
3 Be 0.3750 0.8750 0.8750  2 Os 2.14
4 Be 0.8750 0.8750 0.8750  2 Os 2.14
5 Os 0.0000 0.0000 0.0000  4 Be 2.14
6 Os 0.7500 0.7500 0.7500  4 Be 2.14

Output
Size of the total moment (μB per formula unit): 0.001
Energy (eV per atom): -4.2414
Energy relative to the lowest polymorph listed for this composition (meV/atom): 2277

(4)
A plane-wave DFT calculation with GGA-PBE was carried out for Y2BeP6Os after structural relaxation.

abc: 6.2633 6.2633 7.5816
angles: 126.44 126.44 49.17
Last column: nearest neighbours and their distance in Å.
Sites, in units of the cell vectors:
1 Be 0.5000 0.5000 0.0000  6 P 2.22-2.34
2 Os 0.0000 0.0000 0.5000  6 P 2.41-2.47
3 P 0.6499 0.2216 0.1977  1 P 2.23, 1 Be 2.34, 1 Os 2.41
4 P 0.2216 0.6499 0.1977  1 P 2.23, 1 Be 2.34, 1 Os 2.41
5 P 0.7324 0.7324 0.3549  1 Be 2.22, 1 Os 2.47
6 P 0.2676 0.2676 0.6451  1 Be 2.22, 1 Os 2.47
7 P 0.7784 0.3501 0.8023  1 P 2.23, 1 Be 2.34, 1 Os 2.41
8 P 0.3501 0.7784 0.8023  1 P 2.23, 1 Be 2.34, 1 Os 2.41
9 Y 0.2227 0.2227 0.2404  7 P 2.73-2.95
10 Y 0.7773 0.7773 0.7596  7 P 2.73-2.95

Output
Size of the total moment (μB per formula unit): 0.002
Energy (eV per atom): -6.5161

(5)
A plane-wave DFT calculation with GGA-PBE was carried out for PaBeOs after structural relaxation.

abc: 4.3991 4.3991 4.3991
angles: 60.00 60.00 60.00
Last column: nearest neighbours and their distance in Å.
Sites, in units of the cell vectors:
1 Be 0.2500 0.2500 0.2500  4 Os 2.69
2 Os 0.0000 0.0000 0.0000  4 Be 2.69, 4 Pa 2.69
3 Pa 0.7500 0.7500 0.7500  4 Os 2.69

Output
Size of the total moment (μB per formula unit): 0.085
Energy (eV per atom): -7.9445
Energy relative to the lowest polymorph listed for this composition (meV/atom): 98

(6)
A plane-wave DFT calculation with GGA-PBE was carried out for PaBeOs after structural relaxation.

abc: 4.4493 4.4493 4.4493
angles: 60.00 60.00 60.00
Last column: nearest neighbours and their distance in Å.
Sites, in units of the cell vectors:
1 Be 0.2500 0.2500 0.2500  4 Pa 2.72
2 Os 0.7500 0.7500 0.7500  4 Pa 2.72
3 Pa 0.0000 0.0000 0.0000  4 Os 2.72, 4 Be 2.72

Output
Size of the total moment (μB per formula unit): 0.001
Energy (eV per atom): -7.2948
Energy relative to the lowest polymorph listed for this composition (meV/atom): 747

(7)
A plane-wave DFT calculation with GGA-PBE was carried out for PaBeOs after structural relaxation.

abc: 4.2038 4.2038 4.2038
angles: 60.00 60.00 60.00
Last column: nearest neighbours and their distance in Å.
Sites, in units of the cell vectors:
1 Be 0.0000 0.0000 0.0000  4 Pa 2.57, 4 Os 2.57
2 Os 0.2500 0.2500 0.2500  4 Be 2.57
3 Pa 0.7500 0.7500 0.7500  4 Be 2.57

Output
Size of the total moment (μB per formula unit): 0.001
Energy (eV per atom): -8.0421
Energy relative to the lowest polymorph listed for this composition (meV/atom): 0

(8)
A plane-wave DFT calculation with GGA-PBE was carried out for BeOs2Pb after structural relaxation.

abc: 4.4580 4.4580 4.4580
angles: 60.00 60.00 60.00
Last column: nearest neighbours and their distance in Å.
Sites, in units of the cell vectors:
1 Be 0.2500 0.2500 0.2500  4 Pb 2.73, 4 Os 2.73
2 Os 0.0000 0.0000 0.0000  4 Be 2.73, 4 Os 2.73
3 Os 0.7500 0.7500 0.7500  4 Pb 2.73, 4 Os 2.73
4 Pb 0.5000 0.5000 0.5000  4 Be 2.73, 4 Os 2.73

Output
Size of the total moment (μB per formula unit): 0.013
Energy (eV per atom): -6.4889

(9)
A plane-wave DFT calculation with GGA-PBE was carried out for Be2OsPb after structural relaxation.

abc: 4.3760 4.3760 4.3760
angles: 60.00 60.00 60.00
Last column: nearest neighbours and their distance in Å.
Sites, in units of the cell vectors:
1 Be 0.0000 0.0000 0.0000  4 Os 2.68, 4 Be 2.68
2 Be 0.7500 0.7500 0.7500  4 Pb 2.68, 4 Be 2.68
3 Os 0.2500 0.2500 0.2500  4 Pb 2.68, 4 Be 2.68
4 Pb 0.5000 0.5000 0.5000  4 Os 2.68, 4 Be 2.68

Output
Size of the total moment (μB per formula unit): 0.002
Energy (eV per atom): -4.6697

(10)
A plane-wave DFT calculation with GGA-PBE was carried out for BeSnOsPb after structural relaxation.

abc: 4.7077 4.7077 4.7077
angles: 60.00 60.00 60.00
Last column: nearest neighbours and their distance in Å.
Sites, in units of the cell vectors:
1 Be 0.7500 0.7500 0.7500  4 Pb 2.88, 4 Sn 2.88
2 Os 0.2500 0.2500 0.2500  4 Sn 2.88, 4 Pb 2.88
3 Pb 0.5000 0.5000 0.5000  4 Be 2.88, 4 Os 2.88
4 Sn 0.0000 0.0000 0.0000  4 Os 2.88, 4 Be 2.88

Output
Size of the total moment (μB per formula unit): 0.000
Energy (eV per atom): -4.8317
Energy relative to the lowest polymorph listed for this composition (meV/atom): 0

(11)
A plane-wave DFT calculation with GGA-PBE was carried out for ZrBeOsPb after structural relaxation.

abc: 4.6127 4.6127 4.6127
angles: 60.00 60.00 60.00
Last column: nearest neighbours and their distance in Å.
Sites, in units of the cell vectors:
1 Be 0.7500 0.7500 0.7500  4 Pb 2.82, 4 Zr 2.82
2 Os 0.2500 0.2500 0.2500  4 Pb 2.82, 4 Zr 2.82
3 Pb 0.5000 0.5000 0.5000  4 Be 2.82, 4 Os 2.82
4 Zr 0.0000 0.0000 0.0000  4 Be 2.82, 4 Os 2.82

Output
Size of the total moment (μB per formula unit): 0.000
Energy (eV per atom): -6.5500
Energy relative to the lowest polymorph listed for this composition (meV/atom): 0

(12)
A plane-wave DFT calculation with GGA-PBE was carried out for ZrBeOsPb after structural relaxation.

abc: 4.5993 4.5993 4.5993
angles: 60.00 60.00 60.00
Last column: nearest neighbours and their distance in Å.
Sites, in units of the cell vectors:
1 Be 0.7500 0.7500 0.7500  4 Zr 2.82, 4 Os 2.82
2 Os 0.5000 0.5000 0.5000  4 Pb 2.82, 4 Be 2.82
3 Pb 0.2500 0.2500 0.2500  4 Zr 2.82, 4 Os 2.82
4 Zr 0.0000 0.0000 0.0000  4 Be 2.82, 4 Pb 2.82

Output
Size of the total moment (μB per formula unit): 0.000
Energy (eV per atom): -6.4163
Energy relative to the lowest polymorph listed for this composition (meV/atom): 134